Record 1
RbErAl: optimized geometry, PBE.

## Properties
total magnetic moment: 0.30 μB per formula unit
symmetry: F-43m
DFT total energy: -27.19 eV per cell

Cell: 7.5662 7.5662 7.5662 Å, 90.00 90.00 90.00°
Atoms (fractional coordinates):
1 Rb 0.0000 0.0000 0.0000
2 Rb 0.0000 0.5000 0.5000
3 Rb 0.5000 0.0000 0.5000
4 Rb 0.5000 0.5000 0.0000
5 Er 0.2500 0.2500 0.7500
6 Er 0.2500 0.7500 0.2500
7 Er 0.7500 0.2500 0.2500
8 Er 0.7500 0.7500 0.7500
9 Al 0.0000 0.0000 0.5000
10 Al 0.0000 0.5000 0.0000
11 Al 0.5000 0.0000 0.0000
12 Al 0.5000 0.5000 0.5000

Record 2
NdBiAsO5: optimized geometry, PBE.

## Properties
total magnetic moment: 0.64 μB per formula unit
symmetry: C2/m
DFT total energy: -105.12 eV per cell

Cell: 6.9742 6.9742 7.1705 Å, 109.86 109.86 46.07°
Atoms (fractional coordinates):
1 Nd 0.1683 0.1683 0.1116
2 Nd 0.8317 0.8317 0.8884
3 Bi 0.4916 0.4916 0.7496
4 Bi 0.5084 0.5084 0.2504
5 As 0.1538 0.1538 0.6361
6 As 0.8462 0.8462 0.3639
7 O 0.0890 0.0890 0.3603
8 O 0.0989 0.5849 0.1872
9 O 0.2602 0.7398 0.0000
10 O 0.2978 0.2978 0.6818
11 O 0.4151 0.9011 0.8128
12 O 0.5849 0.0989 0.1872
13 O 0.7022 0.7022 0.3182
14 O 0.7398 0.2602 0.0000
15 O 0.9011 0.4151 0.8128
16 O 0.9110 0.9110 0.6397

Record 3
RbCu3PbS4: optimized geometry, PBE.

## Properties
symmetry: P-43m
DFT total energy: -32.61 eV per cell

Cell: 6.1834 6.1834 6.1834 Å, 90.00 90.00 90.00°
Atoms (fractional coordinates):
1 Rb 0.0000 0.0000 0.0000
2 Cu 0.0000 0.5000 0.5000
3 Cu 0.5000 0.0000 0.5000
4 Cu 0.5000 0.5000 0.0000
5 Pb 0.5000 0.5000 0.5000
6 S 0.2731 0.2731 0.2731
7 S 0.2731 0.7269 0.7269
8 S 0.7269 0.2731 0.7269
9 S 0.7269 0.7269 0.2731

Record 4
ScBeZnB: optimized geometry, PBE.

## Properties
total magnetic moment: 0.00 μB per formula unit
symmetry: F-43m
E above lowest polymorph: 0.0 meV per atom
DFT total energy: -68.87 eV per cell

Cell: 5.7611 5.7611 5.7611 Å, 90.00 90.00 90.00°
Atoms (fractional coordinates):
1 Sc 0.0000 0.0000 0.0000
2 Sc 0.0000 0.5000 0.5000
3 Sc 0.5000 0.0000 0.5000
4 Sc 0.5000 0.5000 0.0000
5 Be 0.2500 0.2500 0.7500
6 Be 0.2500 0.7500 0.2500
7 Be 0.7500 0.2500 0.2500
8 Be 0.7500 0.7500 0.7500
9 Zn 0.0000 0.0000 0.5000
10 Zn 0.0000 0.5000 0.0000
11 Zn 0.5000 0.0000 0.0000
12 Zn 0.5000 0.5000 0.5000
13 B 0.2500 0.2500 0.2500
14 B 0.2500 0.7500 0.7500
15 B 0.7500 0.2500 0.7500
16 B 0.7500 0.7500 0.2500

Record 5
AgBr: optimized geometry, PBE.

## Properties
symmetry: P2_1/m
DFT total energy: -10.16 eV per cell

Cell: 4.0039 4.1118 5.7506 Å, 90.00 96.48 90.00°
Atoms (fractional coordinates):
1 Ag 0.1801 0.2500 0.2048
2 Ag 0.8199 0.7500 0.7952
3 Br 0.2970 0.2500 0.7287
4 Br 0.7030 0.7500 0.2713

Record 6
PrGdNi2P2: optimized geometry, PBE.

## Properties
total magnetic moment: 0.00 μB per formula unit
symmetry: P-3m1
DFT total energy: -38.47 eV per cell

Cell: 3.9439 3.9439 7.9422 Å, 90.00 90.00 120.00°
Atoms (fractional coordinates):
1 Pr 0.0000 0.0000 0.0000
2 Gd 0.0000 0.0000 0.5000
3 Ni 0.3333 0.6667 0.7441
4 Ni 0.6667 0.3333 0.2559
5 P 0.3333 0.6667 0.2603
6 P 0.6667 0.3333 0.7397

Record 7
HfAlTl: optimized geometry, PBE.

## Properties
total magnetic moment: 0.01 μB per formula unit
symmetry: F-43m
E above lowest polymorph: 188.4 meV per atom
DFT total energy: -56.73 eV per cell

Cell: 6.5982 6.5982 6.5982 Å, 90.00 90.00 90.00°
Atoms (fractional coordinates):
1 Hf 0.0000 0.0000 0.0000
2 Hf 0.0000 0.5000 0.5000
3 Hf 0.5000 0.0000 0.5000
4 Hf 0.5000 0.5000 0.0000
5 Al 0.0000 0.0000 0.5000
6 Al 0.0000 0.5000 0.0000
7 Al 0.5000 0.0000 0.0000
8 Al 0.5000 0.5000 0.5000
9 Tl 0.2500 0.2500 0.7500
10 Tl 0.2500 0.7500 0.2500
11 Tl 0.7500 0.2500 0.2500
12 Tl 0.7500 0.7500 0.7500

Record 8
GdMg2Ag: optimized geometry, PBE.

## Properties
total magnetic moment: 0.41 μB per formula unit
symmetry: Pmm2
DFT total energy: -10.74 eV per cell

Cell: 4.0972 4.7820 4.7825 Å, 90.00 90.00 90.00°
Atoms (fractional coordinates):
1 Gd 0.0000 0.0000 0.0000
2 Mg 0.5000 0.0000 0.4997
3 Mg 0.5000 0.5000 0.0079
4 Ag 0.0000 0.5000 0.5056

- Which value of DFT total energy does entry 3 give?
  -32.61 eV per cell